Computed, not measured: a relaxed structure of FeMo3 at the PBE level of DFT.

## Properties
The formation energy is 348 meV/atom. The density of states at the Fermi level is 4.6 states/eV/f.u. The value obtained for the total energy is -9.891 eV/atom.

Cell lengths 2.7424, 9.3077, 2.7424 Å; angles 98.47, 60.00, 98.47 degrees
Fractional coordinates of all 4 atoms:
Fe 0.0000 0.0000 0.0000
Mo 0.2566 0.7698 0.2566
Mo 0.5000 0.5000 0.5000
Mo 0.7434 0.2302 0.7434

Computed, not measured: a relaxed structure of Fe3Mo at the PBE level of DFT.

## Properties
The formation energy is 53 meV/atom. The density of states at the Fermi level is 2.9 states/eV/f.u. The value obtained for the total energy is -9.001 eV/atom.

Cell lengths 2.9069, 2.9069, 5.9446 Å; angles 90.00, 90.00, 90.00 degrees
Fractional coordinates of all 4 atoms:
Mo 0.5000 0.5000 0.7500
Fe 0.0000 0.0000 0.0162
Fe 0.5000 0.5000 0.2500
Fe 0.0000 0.0000 0.4838

Computed, not measured: a relaxed structure of FeMo5 at the PBE level of DFT.

## Properties
The calculation puts the relative energy among the computed polymorphs at 1.468 eV/f.u. The formation energy is 319 meV/atom. The density of states at the Fermi level is 7.1 states/eV/f.u. The value obtained for the total energy is -10.117 eV/atom.

Cell lengths 5.4872, 5.4872, 6.9273 Å; angles 76.49, 76.49, 27.29 degrees
Fractional coordinates of all 6 atoms:
Fe 0.0051 0.0051 0.9905
Mo 0.3385 0.3385 0.3153
Mo 0.6720 0.6720 0.6631
Mo 0.5987 0.5987 0.2784
Mo 0.9426 0.9426 0.6275
Mo 0.2765 0.2765 0.9585

Computed, not measured: a relaxed structure of Fe3Mo at the PBE level of DFT.

## Properties
The formation energy is 62 meV/atom. The density of states at the Fermi level is 2.7 states/eV/f.u. The value obtained for the total energy is -8.992 eV/atom.

Cell lengths 4.0780, 4.8188, 2.9934 Å; angles 71.90, 90.00, 115.03 degrees
Fractional coordinates of all 4 atoms:
Mo 0.7500 0.5000 0.7500
Fe 0.0039 0.0077 0.9961
Fe 0.2500 0.5000 0.2500
Fe 0.4961 0.9923 0.5039

Computed, not measured: a relaxed structure of FeMo3 at the PBE level of DFT.

## Properties
The formation energy is 246 meV/atom. The density of states at the Fermi level is 4.2 states/eV/f.u. The value obtained for the total energy is -9.993 eV/atom.

Cell lengths 5.0477, 8.8937, 5.2446 Å; angles 90.00, 90.00, 90.00 degrees
Fractional coordinates of all 16 atoms:
Mo 0.0030 0.2500 0.8935
Mo 0.4970 0.7500 0.3935
Mo 0.5030 0.2500 0.6065
Mo 0.9970 0.7500 0.1065
Mo 0.2280 0.0258 0.3787
Mo 0.2720 0.9742 0.8787
Mo 0.7280 0.4742 0.1213
Mo 0.7720 0.5258 0.6213
Mo 0.7720 0.9742 0.6213
Mo 0.7280 0.0258 0.1213
Mo 0.2720 0.5258 0.8787
Mo 0.2280 0.4742 0.3787
Fe 0.9393 0.2500 0.3971
Fe 0.5607 0.7500 0.8971
Fe 0.4393 0.2500 0.1029
Fe 0.0607 0.7500 0.6029

Computed, not measured: a relaxed structure of Fe4Mo at the PBE level of DFT.

## Properties
The formation energy is 42 meV/atom. The density of states at the Fermi level is 3.1 states/eV/f.u. The value obtained for the total energy is -8.894 eV/atom.

Cell lengths 7.6104, 7.6104, 7.6104 Å; angles 157.98, 157.98, 31.34 degrees
Fractional coordinates of all 5 atoms:
Fe 0.3927 0.3927 0.0000
Fe 0.7983 0.7983 0.0000
Fe 0.2017 0.2017 0.0000
Fe 0.6073 0.6073 0.0000
Mo 0.0000 0.0000 0.0000

Computed, not measured: a relaxed structure of Fe3Mo4 at the PBE level of DFT.

## Properties
The calculation puts the relative energy among the computed polymorphs at 0.838 eV/f.u. The formation energy is 139 meV/atom. The density of states at the Fermi level is 6.0 states/eV/f.u. The value obtained for the total energy is -9.677 eV/atom.

Cell lengths 10.5247, 10.5247, 10.5247 Å; angles 163.04, 163.04, 24.07 degrees
Fractional coordinates of all 7 atoms:
Fe 0.0000 0.0000 0.0000
Fe 0.7180 0.7180 0.0000
Fe 0.2820 0.2820 0.0000
Mo 0.8530 0.8530 0.0000
Mo 0.1470 0.1470 0.0000
Mo 0.5719 0.5719 0.0000
Mo 0.4281 0.4281 0.0000

Computed, not measured: a relaxed structure of Fe3Mo at the PBE level of DFT.

## Properties
The formation energy is 185 meV/atom. The density of states at the Fermi level is 4.5 states/eV/f.u. The value obtained for the total energy is -8.870 eV/atom.

Cell lengths 2.5330, 2.5330, 7.7172 Å; angles 90.00, 90.00, 89.99 degrees
Fractional coordinates of all 4 atoms:
Fe 0.0000 0.0000 0.9772
Fe 0.5000 0.5000 0.7500
Fe 0.0000 0.0000 0.5228
Mo 0.5000 0.5000 0.2500

Computed, not measured: a relaxed structure of FeMo5 at the PBE level of DFT.

## Properties
The calculation puts the relative energy among the computed polymorphs at 3.924 eV/f.u. The formation energy is 729 meV/atom. The density of states at the Fermi level is 5.6 states/eV/f.u. The value obtained for the total energy is -9.708 eV/atom.

Cell lengths 5.1836, 5.1836, 4.5037 Å; angles 90.00, 90.00, 120.00 degrees
Fractional coordinates of all 6 atoms:
Fe 0.0000 0.0000 0.0000
Mo 0.3333 0.6667 0.0000
Mo 0.6667 0.3333 0.0000
Mo 0.5000 0.0000 0.5000
Mo 0.0000 0.5000 0.5000
Mo 0.5000 0.5000 0.5000

Computed, not measured: a relaxed structure of FeMo5 at the PBE level of DFT.

## Properties
The calculation puts the relative energy among the computed polymorphs at 0.000 eV/f.u. The formation energy is 75 meV/atom. The density of states at the Fermi level is 4.3 states/eV/f.u. The value obtained for the total energy is -10.362 eV/atom.

Cell lengths 6.7624, 6.7624, 4.3934 Å; angles 90.00, 90.00, 152.86 degrees
Fractional coordinates of all 6 atoms:
Fe 0.5000 0.5000 0.0000
Mo 0.3362 0.6638 0.5000
Mo 0.1647 0.8353 0.0000
Mo 0.0000 0.0000 0.5000
Mo 0.8353 0.1647 0.0000
Mo 0.6638 0.3362 0.5000

Computed, not measured: a relaxed structure of Fe3Mo at the PBE level of DFT.

## Properties
The formation energy is 98 meV/atom. The density of states at the Fermi level is 5.1 states/eV/f.u. The value obtained for the total energy is -8.957 eV/atom.

Cell lengths 3.6150, 3.6150, 3.6150 Å; angles 90.00, 90.00, 90.00 degrees
Fractional coordinates of all 4 atoms:
Mo 0.5000 0.5000 0.0000
Fe 0.0000 0.0000 0.0000
Fe 0.0000 0.5000 0.5000
Fe 0.5000 0.0000 0.5000

Computed, not measured: a relaxed structure of Fe5Mo4 at the PBE level of DFT.

## Properties
The calculation puts the relative energy among the computed polymorphs at 1.078 eV/f.u. The formation energy is 216 meV/atom. The density of states at the Fermi level is 8.8 states/eV/f.u. The value obtained for the total energy is -9.299 eV/atom.

Cell lengths 7.2813, 7.2813, 5.1007 Å; angles 90.00, 90.00, 60.00 degrees
Fractional coordinates of all 18 atoms:
Mo 0.0000 0.0000 0.0000
Mo 0.0000 0.0000 0.5000
Mo 0.6582 0.3418 0.2500
Mo 0.0000 0.6582 0.2500
Mo 0.3418 0.0000 0.2500
Mo 0.3418 0.6582 0.7500
Mo 0.0000 0.3418 0.7500
Mo 0.6582 0.0000 0.7500
Fe 0.3388 0.6612 0.2500
Fe 0.0000 0.3388 0.2500
Fe 0.6612 0.0000 0.2500
Fe 0.6612 0.3388 0.7500
Fe 0.0000 0.6612 0.7500
Fe 0.3388 0.0000 0.7500
Fe 0.3333 0.3333 0.0000
Fe 0.6667 0.6667 0.5000
Fe 0.6667 0.6667 0.0000
Fe 0.3333 0.3333 0.5000

Computed, not measured: a relaxed structure of FeMo4 at the PBE level of DFT.

## Properties
The calculation puts the relative energy among the computed polymorphs at 4.757 eV/f.u. The formation energy is 1054 meV/atom. The density of states at the Fermi level is 6.3 states/eV/f.u. The value obtained for the total energy is -9.303 eV/atom.

Cell lengths 6.2190, 6.2190, 6.2190 Å; angles 141.38, 141.38, 55.76 degrees
Fractional coordinates of all 5 atoms:
Fe 0.0000 0.0000 0.0000
Mo 0.7500 0.2500 0.5000
Mo 0.2500 0.7500 0.5000
Mo 0.6149 0.6149 0.0000
Mo 0.3851 0.3851 0.0000

Computed, not measured: a relaxed structure of Fe3Mo at the PBE level of DFT.

## Properties
The formation energy is 220 meV/atom. The density of states at the Fermi level is 5.8 states/eV/f.u. The value obtained for the total energy is -8.834 eV/atom.

Cell lengths 4.4196, 4.4196, 2.6167 Å; angles 90.00, 90.00, 108.80 degrees
Fractional coordinates of all 4 atoms:
Fe 0.0000 0.0000 0.0000
Fe 0.0000 0.5000 0.5000
Fe 0.5000 0.0000 0.5000
Mo 0.5000 0.5000 0.0000

Computed, not measured: a relaxed structure of Fe3Mo at the PBE level of DFT.

## Properties
The formation energy is 104 meV/atom. The density of states at the Fermi level is 3.2 states/eV/f.u. The value obtained for the total energy is -8.950 eV/atom.

Cell lengths 2.5694, 4.8450, 4.8450 Å; angles 63.06, 79.82, 100.18 degrees
Fractional coordinates of all 4 atoms:
Fe 0.0000 0.0000 0.0000
Fe 0.5000 0.5000 0.0000
Fe 0.5000 0.0000 0.5000
Mo 0.0000 0.5000 0.5000

Computed, not measured: a relaxed structure of Fe3Mo at the PBE level of DFT.

## Properties
The formation energy is 60 meV/atom. The density of states at the Fermi level is 2.0 states/eV/f.u. The value obtained for the total energy is -8.995 eV/atom.

Cell lengths 4.6571, 4.6571, 4.6571 Å; angles 90.00, 90.00, 90.00 degrees
Fractional coordinates of all 8 atoms:
Fe 0.2500 0.5000 0.0000
Fe 0.7500 0.5000 0.0000
Fe 0.0000 0.2500 0.5000
Fe 0.0000 0.7500 0.5000
Fe 0.5000 0.0000 0.2500
Fe 0.5000 0.0000 0.7500
Mo 0.0000 0.0000 0.0000
Mo 0.5000 0.5000 0.5000

Computed, not measured: a relaxed structure of FeMo3 at the PBE level of DFT.

## Properties
The formation energy is 112 meV/atom. The density of states at the Fermi level is 3.7 states/eV/f.u. The value obtained for the total energy is -10.127 eV/atom.

Cell lengths 4.3477, 4.3477, 3.1530 Å; angles 90.00, 90.00, 90.00 degrees
Fractional coordinates of all 4 atoms:
Fe 0.0000 0.0000 0.0000
Mo 0.5000 0.0000 0.5000
Mo 0.5000 0.5000 0.0000
Mo 0.0000 0.5000 0.5000

Computed, not measured: a relaxed structure of FeMo3 at the PBE level of DFT.

## Properties
The formation energy is 2041 meV/atom. The density of states at the Fermi level is 6.6 states/eV/f.u. The value obtained for the total energy is -8.198 eV/atom.

Cell lengths 4.4736, 4.4736, 4.4736 Å; angles 90.00, 90.00, 90.00 degrees
Fractional coordinates of all 4 atoms:
Fe 0.0000 0.0000 0.0000
Mo 0.5000 0.0000 0.0000
Mo 0.0000 0.5000 0.0000
Mo 0.0000 0.0000 0.5000

Computed, not measured: a relaxed structure of FeMo5 at the PBE level of DFT.

## Properties
The calculation puts the relative energy among the computed polymorphs at 1.485 eV/f.u. The formation energy is 322 meV/atom. The density of states at the Fermi level is 6.2 states/eV/f.u. The value obtained for the total energy is -10.114 eV/atom.

Cell lengths 7.9218, 7.9218, 4.6150 Å; angles 90.00, 90.00, 161.30 degrees
Fractional coordinates of all 6 atoms:
Fe 0.9951 0.0049 0.0000
Mo 0.6549 0.3451 0.0000
Mo 0.3302 0.6698 0.0000
Mo 0.5585 0.4415 0.5000
Mo 0.2294 0.7706 0.5000
Mo 0.8985 0.1015 0.5000

Computed, not measured: a relaxed structure of FeMo3 at the PBE level of DFT.

## Properties
The formation energy is 100 meV/atom. The density of states at the Fermi level is 3.9 states/eV/f.u. The value obtained for the total energy is -10.139 eV/atom.

Cell lengths 2.6669, 5.1699, 5.1699 Å; angles 117.11, 80.10, 80.10 degrees
Fractional coordinates of all 4 atoms:
Fe 0.0000 0.0000 0.0000
Mo 0.5000 0.0000 0.5000
Mo 0.5000 0.5000 0.0000
Mo 0.0000 0.5000 0.5000